Tb2CePaN4: optimized geometry, PBE.

The structure in CIF format:
```
data_Tb2CePaN4
_chemical_formula_sum 'Tb2 Ce1 Pa1 N4'
_symmetry_space_group_name_H-M 'P 1 2/m 1'
_symmetry_Int_Tables_number 10
_symmetry_space_group_name_Hall '-P 2y'
_cell_length_a 6.0770
_cell_length_b 3.5194
_cell_length_c 6.0962
_cell_angle_alpha 90.00
_cell_angle_beta 109.40
_cell_angle_gamma 90.00
loop_
_atom_site_label
_atom_site_fract_x
_atom_site_fract_y
_atom_site_fract_z
Tb1 0.0000 0.0000 0.0000
Tb2 0.0000 0.5000 0.5000
Ce1 0.5000 0.0000 0.5000
Pa1 0.5000 0.5000 0.0000
N1 0.2575 0.5000 0.2385
N2 0.2603 0.0000 0.7643
```

For the uncorrected formation energy, the calculation gives -1.630 eV per atom. For the total magnetic moment, the calculation gives 0.00 μB per atom.